# La2Ga3Pt6, relaxed, DFT GGA-PBE
data_La2Ga3Pt6
_chemical_formula_sum 'La2 Ga3 Pt6'
_cell_length_a 7.4816
_cell_length_b 7.4816
_cell_length_c 4.4429
_cell_angle_alpha 90.00
_cell_angle_beta 90.00
_cell_angle_gamma 120.00
_space_group_name_H-M_alt 'P -6 2 m'
_space_group_IT_number 189
_space_group_name_Hall 'P -6 -2'
loop_
_atom_site_label
_atom_site_fract_x
_atom_site_fract_y
_atom_site_fract_z
La1 0.3333 0.6667 0.0000
Ga1 0.0000 0.3840 0.5000
Pt1 0.0000 0.2161 0.0000
Pt2 0.0000 0.7178 0.5000
# Uncorrected energy ... -64.58 eV for the cell shown

=====

# TlAgTe2Au, relaxed, DFT GGA-PBE
data_TlAgTe2Au
_chemical_formula_sum 'Tl4 Ag4 Te8 Au4'
_cell_length_a 5.588
_cell_length_b 14.492
_cell_length_c 7.667
_cell_angle_alpha 90.00
_cell_angle_beta 90.00
_cell_angle_gamma 90.00
_space_group_name_H-M_alt 'C m m e'
_space_group_IT_number 67
_space_group_name_Hall '-C 2a 2'
loop_
_atom_site_label
_atom_site_fract_x
_atom_site_fract_y
_atom_site_fract_z
Tl1 0.000 0.250 0.186
Ag1 0.250 0.000 0.500
Te1 0.000 0.119 0.738
Au1 0.000 0.000 0.000
# Formation energy (no corrections) ... -0.0872 eV per atom

=====

# K2YSe, relaxed, DFT GGA-PBE
data_K2YSe
_chemical_formula_sum 'K2 Y1 Se1'
_cell_length_a 4.728
_cell_length_b 4.740
_cell_length_c 6.179
_cell_angle_alpha 90.00
_cell_angle_beta 90.00
_cell_angle_gamma 90.00
_space_group_name_H-M_alt 'P m m m'
_space_group_IT_number 47
loop_
_space_group_symop_operation_xyz
'x,y,z'
'-x,-y,-z'
'-x,-y,z'
'x,y,-z'
'x,-y,-z'
'-x,y,z'
'-x,y,-z'
'x,-y,z'
loop_
_atom_site_label
_atom_site_fract_x
_atom_site_fract_y
_atom_site_fract_z
K1 0.000 0.000 0.227
Y1 0.500 0.500 0.500
Se1 0.500 0.500 0.000
# Formation energy (no corrections) ... -0.2878 eV per atom

=====

# BaZnCdF6, relaxed, DFT GGA-PBE
data_BaZnCdF6
_chemical_formula_sum 'Ba4 Zn4 Cd4 F24'
_cell_length_a 7.310
_cell_length_b 7.312
_cell_length_c 10.333
_cell_angle_alpha 90.00
_cell_angle_beta 90.00
_cell_angle_gamma 90.00
_space_group_name_H-M_alt 'I m m a'
_space_group_IT_number 74
_space_group_name_Hall '-I 2b 2'
loop_
_atom_site_label
_atom_site_fract_x
_atom_site_fract_y
_atom_site_fract_z
Ba1 0.000 0.250 0.166
Zn1 0.000 0.000 0.500
Cd1 0.250 0.250 0.750
F1 0.000 0.250 0.598
F2 0.000 0.250 0.880
F3 0.195 0.050 0.366
# Formation energy (no corrections) ... -2.7575 eV per atom

=====

# FeHg2Sb, relaxed, DFT GGA-PBE
data_FeHg2Sb
_chemical_formula_sum 'Fe2 Hg4 Sb2'
_cell_length_a 3.008
_cell_length_b 4.261
_cell_length_c 13.778
_cell_angle_alpha 90.00
_cell_angle_beta 90.00
_cell_angle_gamma 90.00
_space_group_name_H-M_alt 'I m m m'
_space_group_IT_number 71
_space_group_name_Hall '-I 2 2'
loop_
_atom_site_label
_atom_site_fract_x
_atom_site_fract_y
_atom_site_fract_z
Fe1 0.000 0.000 0.000
Hg1 0.000 0.500 0.316
Sb1 0.000 0.000 0.500
# Formation energy (no corrections) ... 0.2909 eV per atom

=====

# CuTcSe2, relaxed, DFT GGA-PBE
data_CuTcSe2
_chemical_formula_sum 'Cu3 Tc3 Se6'
_cell_length_a 3.1834
_cell_length_b 3.1834
_cell_length_c 24.4141
_cell_angle_alpha 90.00
_cell_angle_beta 90.00
_cell_angle_gamma 120.00
_space_group_name_H-M_alt 'R -3 m'
_space_group_IT_number 166
_space_group_name_Hall '-R 3 2"'
loop_
_atom_site_label
_atom_site_fract_x
_atom_site_fract_y
_atom_site_fract_z
Cu1 0.0000 0.0000 0.0000
Tc1 0.0000 0.0000 0.5000
Se1 0.0000 0.0000 0.4029
# Formation energy (no corrections) ... 0.4389 eV per atom
# Energy above the most stable polymorph in this dataset ... 0.473 eV/atom

=====

# BaSnHg2Au, relaxed, DFT GGA-PBE
data_BaSnHg2Au
_chemical_formula_sum 'Ba1 Sn1 Hg2 Au1'
_cell_length_a 5.662
_cell_length_b 5.662
_cell_length_c 5.320
_cell_angle_alpha 90.00
_cell_angle_beta 90.00
_cell_angle_gamma 90.00
_space_group_name_H-M_alt 'P 4/m m m'
_space_group_IT_number 123
_space_group_name_Hall '-P 4 2'
loop_
_atom_site_label
_atom_site_fract_x
_atom_site_fract_y
_atom_site_fract_z
Ba1 0.000 0.000 0.000
Sn1 0.500 0.500 0.500
Hg1 0.000 0.500 0.500
Au1 0.500 0.500 0.000
# Energy above the most stable polymorph in this dataset ... 0.234 eV/atom

=====

# MnReGeRu, relaxed, DFT GGA-PBE
data_MnReGeRu
_chemical_formula_sum 'Mn4 Re4 Ge4 Ru4'
_cell_length_a 6.033
_cell_length_b 6.033
_cell_length_c 6.033
_cell_angle_alpha 90.00
_cell_angle_beta 90.00
_cell_angle_gamma 90.00
_space_group_name_H-M_alt 'F -4 3 m'
_space_group_IT_number 216
_space_group_name_Hall 'F -4 2 3'
loop_
_atom_site_label
_atom_site_fract_x
_atom_site_fract_y
_atom_site_fract_z
Mn1 0.000 0.000 0.000
Re1 0.250 0.250 0.250
Ge1 0.000 0.000 0.500
Ru1 0.250 0.250 0.750
# Uncorrected energy ... -143.31 eV for the cell shown

=====

# BaAcMg17, relaxed, DFT GGA-PBE
data_BaAcMg17
_chemical_formula_sum 'Ba3 Ac3 Mg51'
_cell_length_a 10.5440
_cell_length_b 10.5440
_cell_length_c 15.4678
_cell_angle_alpha 90.00
_cell_angle_beta 90.00
_cell_angle_gamma 120.00
_space_group_name_H-M_alt 'R 3 m'
_space_group_IT_number 160
_space_group_name_Hall 'R 3 -2"'
loop_
_atom_site_label
_atom_site_fract_x
_atom_site_fract_y
_atom_site_fract_z
Ba1 0.0000 0.0000 0.0000
Ac1 0.0000 0.0000 0.6724
Mg1 0.0000 0.0000 0.2400
Mg2 0.0000 0.0000 0.4365
Mg3 0.0011 0.2948 0.3377
Mg4 0.0051 0.5026 0.4901
Mg5 0.1674 0.3349 0.5181
Mg6 0.1675 0.3350 0.1717
# Uncorrected energy ... -103.82 eV for the cell shown

=====

# Pm4AgI5, relaxed, DFT GGA-PBE
data_Pm4AgI5
_chemical_formula_sum 'Pm8 Ag2 I10'
_cell_length_a 19.393
_cell_length_b 4.236
_cell_length_c 9.226
_cell_angle_alpha 90.00
_cell_angle_beta 101.91
_cell_angle_gamma 90.00
_space_group_name_H-M_alt 'C 1 2/m 1'
_space_group_IT_number 12
loop_
_space_group_symop_operation_xyz
'x,y,z'
'-x,-y,-z'
'-x,y,-z'
'x,-y,z'
'x+1/2,y+1/2,z'
'-x+1/2,-y+1/2,-z'
'-x+1/2,y+1/2,-z'
'x+1/2,-y+1/2,z'
loop_
_atom_site_label
_atom_site_fract_x
_atom_site_fract_y
_atom_site_fract_z
Pm1 0.001 0.000 0.221
Pm2 0.156 0.500 0.073
Ag1 0.000 0.500 0.000
I1 0.000 0.500 0.500
I2 0.168 0.000 0.337
I3 0.172 0.000 0.817
# Formation energy (no corrections) ... -0.9971 eV per atom

=====

# CrTc3As, relaxed, DFT GGA-PBE
data_CrTc3As
_chemical_formula_sum 'Cr1 Tc3 As1'
_cell_length_a 4.465
_cell_length_b 4.465
_cell_length_c 4.465
_cell_angle_alpha 90.00
_cell_angle_beta 90.00
_cell_angle_gamma 90.00
_space_group_name_H-M_alt 'P m -3 m'
_space_group_IT_number 221
_space_group_name_Hall '-P 4 2 3'
loop_
_atom_site_label
_atom_site_fract_x
_atom_site_fract_y
_atom_site_fract_z
Cr1 0.000 0.000 0.000
Tc1 0.000 0.500 0.500
As1 0.500 0.500 0.500
# Energy above the most stable polymorph in this dataset ... 0.140 eV/atom

=====

# TaMoS2Cl, relaxed, DFT GGA-PBE
data_TaMoS2Cl
_chemical_formula_sum 'Ta1 Mo1 S2 Cl1'
_cell_length_a 4.825
_cell_length_b 4.825
_cell_length_c 4.781
_cell_angle_alpha 90.00
_cell_angle_beta 90.00
_cell_angle_gamma 90.00
_space_group_name_H-M_alt 'P 4/m m m'
_space_group_IT_number 123
_space_group_name_Hall '-P 4 2'
loop_
_atom_site_label
_atom_site_fract_x
_atom_site_fract_y
_atom_site_fract_z
Ta1 0.000 0.000 0.000
Mo1 0.500 0.500 0.500
S1 0.000 0.500 0.000
Cl1 0.000 0.000 0.500
# Formation energy (no corrections) ... 0.2975 eV per atom
# Energy above the most stable polymorph in this dataset ... 0.000 eV/atom

=====

# Hf3AlIn, relaxed, DFT GGA-PBE
data_Hf3AlIn
_chemical_formula_sum 'Hf3 Al1 In1'
_cell_length_a 4.963
_cell_length_b 4.963
_cell_length_c 4.963
_cell_angle_alpha 90.00
_cell_angle_beta 90.00
_cell_angle_gamma 90.00
_space_group_name_H-M_alt 'P m -3 m'
_space_group_IT_number 221
_space_group_name_Hall '-P 4 2 3'
loop_
_atom_site_label
_atom_site_fract_x
_atom_site_fract_y
_atom_site_fract_z
Hf1 0.000 0.000 0.500
Al1 0.000 0.000 0.000
In1 0.500 0.500 0.500
# Energy above the most stable polymorph in this dataset ... 0.361 eV/atom

=====

# LiTmSc2Te4, relaxed, DFT GGA-PBE
data_LiTmSc2Te4
_chemical_formula_sum 'Li1 Tm1 Sc2 Te4'
_cell_length_a 7.275
_cell_length_b 4.187
_cell_length_c 7.344
_cell_angle_alpha 90.00
_cell_angle_beta 109.00
_cell_angle_gamma 90.00
_space_group_name_H-M_alt 'P 1 2/m 1'
_space_group_IT_number 10
loop_
_space_group_symop_operation_xyz
'x,y,z'
'-x,-y,-z'
'-x,y,-z'
'x,-y,z'
loop_
_atom_site_label
_atom_site_fract_x
_atom_site_fract_y
_atom_site_fract_z
Li1 0.000 0.000 0.000
Tm1 0.500 0.500 0.000
Sc1 0.000 0.500 0.500
Sc2 0.500 0.000 0.500
Te1 0.242 0.000 0.745
Te2 0.247 0.500 0.253
# Formation energy (no corrections) ... -1.1886 eV per atom

=====

# BaZrOs2, relaxed, DFT GGA-PBE
data_BaZrOs2
_chemical_formula_sum 'Ba1 Zr1 Os2'
_cell_length_a 3.363
_cell_length_b 3.363
_cell_length_c 7.785
_cell_angle_alpha 90.00
_cell_angle_beta 90.00
_cell_angle_gamma 90.00
_space_group_name_H-M_alt 'P 4/m m m'
_space_group_IT_number 123
_space_group_name_Hall '-P 4 2'
loop_
_atom_site_label
_atom_site_fract_x
_atom_site_fract_y
_atom_site_fract_z
Ba1 0.000 0.000 0.000
Zr1 0.000 0.000 0.500
Os1 0.500 0.500 0.312
# Energy above the most stable polymorph in this dataset ... 0.228 eV/atom

=====

# NiAgBr2, relaxed, DFT GGA-PBE
data_NiAgBr2
_chemical_formula_sum 'Ni2 Ag2 Br4'
_cell_length_a 3.752
_cell_length_b 3.752
_cell_length_c 14.949
_cell_angle_alpha 90.00
_cell_angle_beta 90.00
_cell_angle_gamma 90.00
_space_group_name_H-M_alt 'I -4 m 2'
_space_group_IT_number 119
_space_group_name_Hall 'I -4 -2'
loop_
_atom_site_label
_atom_site_fract_x
_atom_site_fract_y
_atom_site_fract_z
Ni1 0.000 0.000 0.000
Ag1 0.000 0.500 0.750
Br1 0.000 0.000 0.500
Br2 0.000 0.500 0.250
# Formation energy (no corrections) ... 0.1553 eV per atom
# Energy above the most stable polymorph in this dataset ... 0.275 eV/atom